TlP2PbBrO | PBE | relaxed

Results
ΔE to the lowest computed polymorph, meV per atom: 24
Size of the total moment, μB/cell: 0.00
Mass density, g cm⁻³: 5.92
Uncorrected energy, eV per atom: -4.495

abc: 4.954 3.563 9.330
angles: 90.00 104.18 90.00
Space group Pm (No. 6)
One atom of each set of equivalent atoms:
1 Tl 0.000 0.000 0.000 x1
2 P 0.545 0.000 0.272 x1
3 P 0.846 0.500 0.262 x1
4 Pb 0.123 0.000 0.529 x1
5 Br 0.403 0.500 0.797 x1
6 O 0.522 0.000 0.439 x1



TlP2PbBrO | PBE | relaxed

Results
ΔE to the lowest computed polymorph, meV per atom: 0
Size of the total moment, μB/cell: 0.00
Mass density, g cm⁻³: 6.21
Uncorrected energy, eV per atom: -4.519

abc: 17.770 3.578 4.813
angles: 90.00 95.71 90.00
Space group Cm (No. 8)
One atom of each set of equivalent atoms:
1 Tl 0.000 0.000 0.000 x2
2 P 0.134 0.000 0.623 x2
3 P 0.138 0.500 0.322 x2
4 Pb 0.279 0.500 0.080 x2
5 Br 0.387 0.000 0.499 x2
6 O 0.215 0.000 0.805 x2



TlP2PbBrO | PBE | relaxed

Results
ΔE to the lowest computed polymorph, meV per atom: 173
Size of the total moment, μB/cell: 0.00
Mass density, g cm⁻³: 5.59
Uncorrected energy, eV per atom: -4.345

abc: 4.257 5.931 7.252
angles: 71.74 76.86 84.73
Space group P1 (No. 1)
One atom of each set of equivalent atoms:
1 Tl 0.000 0.000 0.000 x1
2 P 0.369 0.571 0.080 x1
3 P 0.697 0.584 0.262 x1
4 Pb 0.565 0.427 0.722 x1
5 Br 0.033 0.804 0.618 x1
6 O 0.035 0.408 0.219 x1



Question: Which formula does entry 3 have?
Answer: TlP2PbBrO